Tb2Dy6Ho3Tl: optimized geometry, PBE-GGA.

extended XYZ file:
```
12
Lattice="3.039 -5.266 0.000 3.039 5.266 0.000 -2.033 0.000 11.454" Properties=species:S:1:pos:R:3 pbc="T T T"
Tb 3.039 3.518 0.000
Tb 3.039 -3.518 0.000
Dy 0.010 1.734 8.606
Dy 1.032 0.000 2.865
Dy 0.010 -1.734 8.606
Dy 4.036 1.734 2.848
Dy 3.014 0.000 8.589
Dy 4.036 -1.734 2.848
Ho -1.017 0.000 5.727
Ho 2.023 1.758 5.727
Ho 2.023 -1.758 5.727
Tl 3.039 0.000 0.000
```

The calculation puts the calculated density at 9021 kg/m3.

---

Tb6Dy3Ho2Tl: optimized geometry, PBE-GGA.

extended XYZ file:
```
12
Lattice="3.050 -5.292 0.000 3.050 5.292 0.000 -2.057 0.000 11.450" Properties=species:S:1:pos:R:3 pbc="T T T"
Tb 0.994 1.743 2.831
Tb -0.034 0.000 8.599
Tb 0.994 -1.743 2.831
Tb 3.050 1.743 8.619
Tb 4.078 0.000 2.852
Tb 3.050 -1.743 8.619
Dy 2.022 3.523 5.725
Dy 2.022 0.000 5.725
Dy 2.022 -3.523 5.725
Ho 3.050 1.754 0.000
Ho 3.050 -1.754 0.000
Tl 0.000 0.000 0.000
```

The calculation puts the calculated density at 8873 kg/m3.

---

TbDyHoTl: optimized geometry, PBE-GGA.

extended XYZ file:
```
4
Lattice="4.839 0.000 0.000 0.000 4.849 0.000 0.000 0.000 4.858" Properties=species:S:1:pos:R:3 pbc="T T T"
Tb 0.000 0.000 0.000
Dy 2.420 2.424 0.000
Ho 2.420 0.000 2.429
Tl 0.000 2.424 2.429
```

The calculation puts the calculated density at 10062 kg/m3. The excess energy over the best structure of this formula in the dataset comes out at 0.0 meV/atom.

---

TbDyHoTl: optimized geometry, PBE-GGA.

extended XYZ file:
```
4
Lattice="0.000 3.864 3.864 3.864 0.000 3.864 3.864 3.864 0.000" Properties=species:S:1:pos:R:3 pbc="T T T"
Tb 0.000 0.000 0.000
Dy 3.864 3.864 3.864
Ho 1.932 1.932 1.932
Tl 5.796 5.796 5.796
```

The calculation puts the calculated density at 9943 kg/m3. The excess energy over the best structure of this formula in the dataset comes out at 148.7 meV/atom.

---

Quick rundown of E_form, same order as above: -0.018 -0.014 -0.180 -0.031 eV/atom